YTiCo2Pb | GGA-PBE | optimized geometry

Unit cell a=4.532 b=4.532 c=5.680 alpha=90.00 beta=90.00 gamma=90.00
Space group P4/mmm (No. 123)
Asymmetric unit:
Y  0.000  0.000  0.000
Ti  0.500  0.500  0.500
Co  0.000  0.500  0.000
Pb  0.000  0.000  0.500

Properties
V: 116.6 Å³/f.u.
final energy: -4.98 eV per atom

TlCoPb2 | GGA-PBE | optimized geometry

Unit cell a=3.419 b=5.072 c=12.236 alpha=90.00 beta=90.00 gamma=90.00
Space group Amm2 (No. 38)
Asymmetric unit:
Tl  0.000  0.000  0.000
Co  0.500  0.000  0.174
Pb  0.000  0.000  0.343
Pb  0.500  0.000  0.674

Properties
V: 106.1 Å³/f.u.
final energy: -3.93 eV per atom

Tl2CoPb | GGA-PBE | optimized geometry

Unit cell a=4.520 b=4.520 c=9.630 alpha=90.00 beta=90.00 gamma=90.00
Space group I4/mmm (No. 139)
Asymmetric unit:
Tl  0.000  0.500  0.250
Co  0.000  0.000  0.000
Pb  0.000  0.000  0.500

Properties
V: 98.4 Å³/f.u.
final energy: -3.29 eV per atom